DFT (PBE-GGA) results for a geometry-optimized HgTe2Ir structure.

Computed properties:
E_tot, eV per cell: -16.12
Space group: No. 12
Magnetization, μB per atom: 0.00
E_form (uncorrected), meV per atom: -168.4

Cell: 4.0055 4.0055 8.1038 Å, 76.04 76.04 59.92°
Element x y z (fractional)
Ir 0.2500 0.2500 0.2500
Te 0.9738 0.9738 0.0750
Te 0.5262 0.5262 0.4250
Hg 0.7500 0.7500 0.7500

---

DFT (PBE-GGA) results for a geometry-optimized HgTe2Ir structure.

Computed properties:
E_tot, eV per cell: -30.24
Space group: No. 122
Magnetization, μB per atom: 0.00
E_form (uncorrected), meV per atom: 81.5

Cell: 6.8263 6.8263 7.2937 Å, 62.10 62.10 90.00°
Element x y z (fractional)
Ir 0.5000 0.5000 0.0000
Ir 0.2500 0.7500 0.5000
Te 0.5668 0.1250 0.2500
Te 0.1832 0.6250 0.2500
Te 0.3750 0.4332 0.7500
Te 0.8750 0.8168 0.7500
Hg 0.0000 0.0000 0.0000
Hg 0.7500 0.2500 0.5000

---

DFT (PBE-GGA) results for a geometry-optimized HgTe2Ir structure.

Computed properties:
E_tot, eV per cell: -13.10
Space group: No. 65
Magnetization, μB per atom: 0.00
E_form (uncorrected), meV per atom: 585.9

Cell: 4.9711 4.9711 3.8371 Å, 90.00 90.00 106.55°
Element x y z (fractional)
Hg 0.5000 0.0000 0.5000
Ir 0.0000 0.5000 0.5000
Te 0.0000 0.0000 0.0000
Te 0.5000 0.5000 0.0000

---

DFT (PBE-GGA) results for a geometry-optimized HgTe2Ir structure.

Computed properties:
E_tot, eV per cell: -12.72
Space group: No. 119
Magnetization, μB per atom: 0.00
E_form (uncorrected), meV per atom: 681.1

Cell: 5.3524 5.3524 5.3524 Å, 129.25 129.25 74.61°
Element x y z (fractional)
Hg 0.5000 0.5000 0.0000
Ir 0.7500 0.2500 0.5000
Te 0.0000 0.0000 0.0000
Te 0.2500 0.7500 0.5000

---

DFT (PBE-GGA) results for a geometry-optimized HgTe2Ir structure.

Computed properties:
E_tot, eV per cell: -14.88
Space group: No. 71
Magnetization, μB per atom: 0.00
E_form (uncorrected), meV per atom: 142.3

Cell: 6.6344 6.6344 6.6344 Å, 147.77 139.03 53.06°
Element x y z (fractional)
Hg 0.7500 0.2500 0.5000
Ir 0.2500 0.7500 0.5000
Te 0.0846 0.0846 0.0000
Te 0.4154 0.4154 0.0000

---

DFT (PBE-GGA) results for a geometry-optimized HgTe2Ir structure.

Computed properties:
E_tot, eV per cell: -14.46
Space group: No. 99
Magnetization, μB per atom: 0.00
E_form (uncorrected), meV per atom: 247.4

Cell: 3.2232 3.2234 9.5489 Å, 90.00 90.00 90.00°
Element x y z (fractional)
Hg 0.0000 0.0000 0.5473
Ir 0.5000 0.5000 0.7719
Te 0.0000 0.0000 0.9203
Te 0.5000 0.5000 0.2605